Pb2CO (GGA-PBE, optimized geometry); space group = No. 225; formation energy without anion corrections = 3.51 eV/f.u.; relative energy among the computed polymorphs = 390 meV per atom
1.0
0.655 -4.254 -1.457
-2.184 -1.498 -3.692
2.296 -0.756 -3.847
C O Pb
1 1 2
Direct
0.000 0.000 0.000
0.500 0.500 0.500
0.250 0.250 0.250
0.750 0.750 0.750